Below is a geometry-optimized TbUN3 structure, with properties calculated at the PBE level.

Output
* DFT total energy: -9.6003 eV/atom

CIF file:
```
data_TbUN3
_chemical_formula_sum 'Tb4 U4 N12'
_cell_length_a 5.821
_cell_length_b 8.313
_cell_length_c 5.850
_cell_angle_alpha 90.00
_cell_angle_beta 90.00
_cell_angle_gamma 90.00
_symmetry_space_group_name_H-M 'I m m a'
_symmetry_Int_Tables_number 74
_symmetry_space_group_name_Hall '-I 2b 2'
loop_
_atom_site_label
_atom_site_type_symbol
_atom_site_fract_x
_atom_site_fract_y
_atom_site_fract_z
_atom_site_occupancy
Tb1 Tb 0.000 0.250 0.028 1
U1 U 0.000 0.000 0.500 1
N1 N 0.000 0.250 0.626 1
N2 N 0.250 0.073 0.250 1
```

***

Below is a geometry-optimized CsPrGeTe3 structure, with properties calculated at the PBE level.

Output
* DFT total energy: -4.1913 eV/atom

CIF file:
```
data_CsPrGeTe3
_chemical_formula_sum 'Cs4 Pr4 Ge4 Te12'
_cell_length_a 4.837
_cell_length_b 16.497
_cell_length_c 12.403
_cell_angle_alpha 90.00
_cell_angle_beta 90.00
_cell_angle_gamma 90.00
_symmetry_space_group_name_H-M 'C m c m'
_symmetry_Int_Tables_number 63
_symmetry_space_group_name_Hall '-C 2c 2'
loop_
_atom_site_label
_atom_site_type_symbol
_atom_site_fract_x
_atom_site_fract_y
_atom_site_fract_z
_atom_site_occupancy
Cs1 Cs 0.000 0.248 0.250 1
Pr1 Pr 0.000 0.500 0.000 1
Ge1 Ge 0.000 0.037 0.750 1
Te1 Te 0.000 0.127 0.551 1
Te2 Te 0.000 0.441 0.750 1
```

***

Below is a geometry-optimized TaFeNiAs structure, with properties calculated at the PBE level.

Output
* DFT total energy: -7.5991 eV/atom
* distance to the lowest polymorph of the same formula: 5 meV/atom

CIF file:
```
data_TaFeNiAs
_chemical_formula_sum 'Ta4 Fe4 Ni4 As4'
_cell_length_a 6.036
_cell_length_b 6.036
_cell_length_c 6.036
_cell_angle_alpha 90.00
_cell_angle_beta 90.00
_cell_angle_gamma 90.00
_symmetry_space_group_name_H-M 'F -4 3 m'
_symmetry_Int_Tables_number 216
_symmetry_space_group_name_Hall 'F -4 2 3'
loop_
_atom_site_label
_atom_site_type_symbol
_atom_site_fract_x
_atom_site_fract_y
_atom_site_fract_z
_atom_site_occupancy
Ta1 Ta 0.000 0.000 0.000 1
Fe1 Fe 0.000 0.000 0.500 1
Ni1 Ni 0.250 0.250 0.750 1
As1 As 0.250 0.250 0.250 1
```

***

Below is a geometry-optimized Li2ScNi structure, with properties calculated at the PBE level.

Output
* DFT total energy: -3.9621 eV/atom
* distance to the lowest polymorph of the same formula: 0 meV/atom

CIF file:
```
data_Li2ScNi
_chemical_formula_sum 'Li8 Sc4 Ni4'
_cell_length_a 6.241
_cell_length_b 6.241
_cell_length_c 6.241
_cell_angle_alpha 90.00
_cell_angle_beta 90.00
_cell_angle_gamma 90.00
_symmetry_space_group_name_H-M 'F -4 3 m'
_symmetry_Int_Tables_number 216
_symmetry_space_group_name_Hall 'F -4 2 3'
loop_
_atom_site_label
_atom_site_type_symbol
_atom_site_fract_x
_atom_site_fract_y
_atom_site_fract_z
_atom_site_occupancy
Li1 Li 0.000 0.000 0.000 1
Li2 Li 0.250 0.250 0.250 1
Sc1 Sc 0.000 0.000 0.500 1
Ni1 Ni 0.250 0.250 0.750 1
```

***

The lowest DFT total energy belongs to which entry? TbUN3